Entry 1:
DFT (PBE) results for a geometry-optimized DyHo4Cd structure.

Lattice parameters (Å, degrees): 3.5422 3.5422 14.0940 90.00 90.00 90.00
Sites, in units of the cell vectors:
Dy  0.0000  0.0000  0.0000
Ho  0.0000  0.0000  0.6475
Ho  0.5000  0.5000  0.8233
Ho  0.0000  0.0000  0.3525
Cd  0.5000  0.5000  0.5000
Ho  0.5000  0.5000  0.1767

Results
**Total moment**: 0.00 μB/cell
**Energy relative to the lowest polymorph listed for this composition**: 0.000 eV/atom
**Uncorrected energy**: -4.061 eV per atom
**Formation energy from the elements**: -52 kJ/mol of formula units



Entry 2:
DFT (PBE) results for a geometry-optimized Dy2HoCd6 structure.

Lattice parameters (Å, degrees): 3.4215 8.6102 8.6102 120.00 90.00 90.00
Sites, in units of the cell vectors:
Cd  0.5000  0.6670  0.6670
Cd  0.5000  0.3330  0.0000
Dy  0.0000  0.6667  0.3333
Cd  0.5000  0.0000  0.6670
Dy  0.0000  0.3333  0.6667
Cd  0.5000  0.0000  0.3330
Cd  0.5000  0.3330  0.3330
Cd  0.5000  0.6670  0.0000
Ho  0.0000  0.0000  0.0000

Results
**Total moment**: 0.00 μB/cell
**Uncorrected energy**: -2.454 eV per atom
**Formation energy from the elements**: -271 kJ/mol of formula units



no.,calculated density (g/cm³)
1,8.78
2,8.80